Computed, not measured: a relaxed structure of MgCoSnF6 at the GGA+U level of DFT.

Values from the calculation:
Crystal system: monoclinic
DFT total energy in eV/f.u.: -45.64
Space-group type: C2 (5)

Unit cell a=5.386 b=5.386 c=5.141 alpha=90.02 beta=90.02 gamma=119.93
Atoms (fractional coordinates):
1 Mg 0.000 0.000 0.000
2 Co 0.667 0.333 0.000
3 Sn 0.333 0.667 0.500
4 F 0.327 0.025 0.213
5 F 0.327 0.302 0.787
6 F 0.697 0.025 0.787
7 F 0.698 0.673 0.213
8 F 0.975 0.303 0.213
9 F 0.975 0.673 0.787